The following is a DFT calculation (PBE-GGA) of a geometry-optimized InNiN2 structure.

Computed properties:
Formation energy without anion corrections = 0.6742 eV per atom
Volume = 12.0 Å³ per atom
Total magnetic moment = 0.000 μB/atom
DOS(E_F) = 0.63 states/eV per atom
Uncorrected energy = -22.47 eV per formula unit
Space group = R-3m (166)

Lattice parameters (Å, degrees): 2.9933 2.9933 18.6232 90.00 90.00 120.00
Fractional positions:
In (0.0000, 0.0000, 0.0000)
In (0.3333, 0.6667, 0.6667)
In (0.6667, 0.3333, 0.3333)
Ni (0.0000, 0.0000, 0.5000)
Ni (0.3333, 0.6667, 0.1667)
Ni (0.6667, 0.3333, 0.8333)
N (0.0000, 0.0000, 0.1180)
N (0.0000, 0.0000, 0.8820)
N (0.3333, 0.6667, 0.5487)
N (0.3333, 0.6667, 0.7847)
N (0.6667, 0.3333, 0.2153)
N (0.6667, 0.3333, 0.4513)